Compound: Cs3CoB
Source: the Alexandria database
Functional: PBE
Structure: optimized geometry

- DFT formation energy (kJ/mol of formula units) = 761
- density (Mg/m³) = 3.72
- magnetic moment (μB per formula unit) = 2.41

Unit cell a=5.9338 b=5.9338 c=5.9338 alpha=90.00 beta=90.00 gamma=90.00
Last column: nearest neighbours and their distance in Å.
Space group Pm-3m (No. 221)
One atom of each set of equivalent atoms:
Cs (0.0000, 0.0000, 0.5000) (multiplicity 3)  2 Co 2.97
Co (0.0000, 0.0000, 0.0000) (multiplicity 1)  6 Cs 2.97
B (0.5000, 0.5000, 0.5000) (multiplicity 1)  12 Cs 4.20